Entry 1:
{"formula": "SrZr2Si", "functional": "GGA-PBE", "state": "relaxed", "formation_energy_uncorrected_mev_per_atom": 115, "dft_energy_ev_per_atom": -5.94, "crystal_system": "orthorhombic", "spacegroup": "No. 44", "vol_a3_per_fu": 98.5, "cell": [[-1.8863, 2.2940, 5.6895], [1.8863, -2.2940, 5.6895], [1.8863, 2.2940, -5.6895]], "species": ["Sr", "Zr", "Zr", "Si"], "fractional_positions": [[0.0000, 0.0000, 0.0000], [0.3960, 0.3960, 0.0000], [0.7107, 0.2107, 0.5000], [0.2287, 0.7287, 0.5000]]}

***

Entry 2:
{"formula": "SrZr2Si", "functional": "GGA-PBE", "state": "relaxed", "formation_energy_uncorrected_mev_per_atom": 187, "dft_energy_ev_per_atom": -5.86, "crystal_system": "tetragonal", "spacegroup": "No. 123", "vol_a3_per_fu": 90.9, "cell": [[4.5454, 0.0000, 0.0000], [0.0000, 4.5454, 0.0000], [0.0000, 0.0000, 4.3998]], "species": ["Sr", "Zr", "Zr", "Si"], "fractional_positions": [[0.0000, 0.0000, 0.0000], [0.0000, 0.5000, 0.5000], [0.5000, 0.0000, 0.5000], [0.5000, 0.5000, 0.0000]]}

***

Entry 3:
{"formula": "SrZr2Si", "functional": "GGA-PBE", "state": "relaxed", "formation_energy_uncorrected_mev_per_atom": 18, "dft_energy_ev_per_atom": -6.03, "crystal_system": "monoclinic", "spacegroup": "No. 10", "vol_a3_per_fu": 104.1, "cell": [[3.5197, 0.0000, 0.0000], [0.0000, 3.6201, 0.0000], [-0.2936, 0.0000, 8.1715]], "species": ["Sr", "Zr", "Zr", "Si"], "fractional_positions": [[0.0000, 0.0000, 0.0000], [0.4452, 0.5000, 0.6649], [0.5548, 0.5000, 0.3351], [0.0000, 0.0000, 0.5000]]}

***

Entry 4:
{"formula": "SrZrSi", "functional": "GGA-PBE", "state": "relaxed", "formation_energy_uncorrected_mev_per_atom": -21, "dft_energy_ev_per_atom": -5.24, "crystal_system": "trigonal", "spacegroup": "No. 156", "vol_a3_per_fu": 88.1, "cell": [[4.5070, 0.0000, 0.0000], [-2.2535, 3.9031, 0.0000], [0.0000, 0.0000, 5.0057]], "species": ["Sr", "Zr", "Si"], "fractional_positions": [[0.0000, 0.0000, 0.0000], [0.6667, 0.3333, 0.4936], [0.3333, 0.6667, 0.5889]]}

***

| no. | total magnetization (μB/atom) | Fermi-level density of states (states/eV per cell) |
| --- | --- | --- |
| 1 | 0.0000 | 3.2 |
| 2 | 0.0000 | 4.0 |
| 3 | 0.0000 | 5.0 |
| 4 | 0.0000 | 1.7 |